No. 1
CsMnCr2Pb: relaxed, PBE.

DFT total energy (eV for the cell shown): -21.820
N(E_F) (states/eV/atom): 1.079
Crystal system: tetragonal
Space group: No. 123
Formation energy (eV/atom): 2.2317

Geometry as CIF:
```
data_CsMnCr2Pb
_chemical_formula_sum 'Cs1 Mn1 Cr2 Pb1'
_symmetry_space_group_name_H-M 'P 1'
_symmetry_Int_Tables_number 1
_symmetry_space_group_name_Hall 'P 1'
_cell_length_a 5.205
_cell_length_b 5.117
_cell_length_c 5.205
_cell_angle_alpha 90.00
_cell_angle_beta 90.00
_cell_angle_gamma 90.00
loop_
_atom_site_label
_atom_site_type_symbol
_atom_site_fract_x
_atom_site_fract_y
_atom_site_fract_z
Mn1 Mn 0.000 0.500 0.000
Cr1 Cr 0.000 0.000 0.500
Cr2 Cr 0.500 0.000 0.000
Pb1 Pb 0.500 0.500 0.500
Cs1 Cs 0.000 0.000 0.000
```

No. 2
CsMnCr2Pd: relaxed, PBE.

DFT total energy (eV for the cell shown): -25.154
N(E_F) (states/eV/atom): 0.803
Crystal system: tetragonal
Space group: No. 123
Formation energy (eV/atom): 1.8618

Geometry as CIF:
```
data_CsMnCr2Pd
_chemical_formula_sum 'Cs1 Mn1 Cr2 Pd1'
_symmetry_space_group_name_H-M 'P 1'
_symmetry_Int_Tables_number 1
_symmetry_space_group_name_Hall 'P 1'
_cell_length_a 6.601
_cell_length_b 6.601
_cell_length_c 6.601
_cell_angle_alpha 90.00
_cell_angle_beta 90.00
_cell_angle_gamma 90.00
loop_
_atom_site_label
_atom_site_type_symbol
_atom_site_fract_x
_atom_site_fract_y
_atom_site_fract_z
Cs1 Cs 0.500 0.500 0.500
Cr1 Cr 0.500 0.000 0.000
Cr2 Cr 0.000 0.000 0.500
Pd1 Pd 0.000 0.000 0.000
Mn1 Mn 0.000 0.500 0.000
```

No. 3
Cs2MnCrSe4: relaxed, PBE.

DFT total energy (eV for the cell shown): -81.902
Energy relative to the elements, uncorrected (eV/atom): -0.81
N(E_F) (states/eV/atom): 0.253
Crystal system: orthorhombic
Space group: No. 70

Geometry as CIF:
```
data_Cs2MnCrSe4
_chemical_formula_sum 'Cs4 Mn2 Cr2 Se8'
_symmetry_space_group_name_H-M 'P 1'
_symmetry_Int_Tables_number 1
_symmetry_space_group_name_Hall 'P 1'
_cell_length_a 5.688
_cell_length_b 8.040
_cell_length_c 13.246
_cell_angle_alpha 85.64
_cell_angle_beta 77.60
_cell_angle_gamma 69.28
loop_
_atom_site_label
_atom_site_type_symbol
_atom_site_fract_x
_atom_site_fract_y
_atom_site_fract_z
Se1 Se 0.273 0.818 0.104
Se2 Se 0.909 0.818 0.896
Se3 Se 0.841 0.682 0.604
Se4 Se 0.556 0.318 0.604
Se5 Se 0.194 0.182 0.896
Se6 Se 0.477 0.682 0.396
Se7 Se 0.126 0.318 0.396
Se8 Se 0.624 0.182 0.104
Cs1 Cs 0.178 0.000 0.644
Cs2 Cs 0.572 0.500 0.856
Cs3 Cs 0.928 0.500 0.144
Cs4 Cs 0.822 0.000 0.356
Mn1 Mn 0.500 0.000 0.000
Mn2 Mn 0.250 0.500 0.500
Cr1 Cr 0.750 0.500 0.500
Cr2 Cr 0.000 0.000 0.000
```

No. 4
Cs2MnCrTe4: relaxed, PBE.

DFT total energy (eV for the cell shown): -74.294
Energy relative to the elements, uncorrected (eV/atom): -0.51
N(E_F) (states/eV/atom): 0.072
Crystal system: orthorhombic
Space group: No. 70

Geometry as CIF:
```
data_Cs2MnCrTe4
_chemical_formula_sum 'Cs4 Mn2 Cr2 Te8'
_symmetry_space_group_name_H-M 'P 1'
_symmetry_Int_Tables_number 1
_symmetry_space_group_name_Hall 'P 1'
_cell_length_a 6.042
_cell_length_b 8.531
_cell_length_c 13.895
_cell_angle_alpha 85.58
_cell_angle_beta 77.44
_cell_angle_gamma 69.26
loop_
_atom_site_label
_atom_site_type_symbol
_atom_site_fract_x
_atom_site_fract_y
_atom_site_fract_z
Mn1 Mn 0.250 0.500 0.500
Mn2 Mn 0.500 0.000 0.000
Cr1 Cr 0.750 0.500 0.500
Cr2 Cr 0.000 0.000 0.000
Cs1 Cs 0.931 0.500 0.139
Cs2 Cs 0.819 0.000 0.361
Cs3 Cs 0.569 0.500 0.861
Cs4 Cs 0.181 0.000 0.639
Te1 Te 0.553 0.313 0.609
Te2 Te 0.616 0.187 0.109
Te3 Te 0.476 0.687 0.391
Te4 Te 0.274 0.813 0.109
Te5 Te 0.134 0.313 0.391
Te6 Te 0.912 0.813 0.891
Te7 Te 0.197 0.187 0.891
Te8 Te 0.838 0.687 0.609
```

No. 5
CsMnCrTe3: relaxed, PBE.

DFT total energy (eV for the cell shown): -63.202
Energy relative to the elements, uncorrected (eV/atom): -0.42
N(E_F) (states/eV/atom): 0.265
Crystal system: monoclinic
Space group: No. 11

Geometry as CIF:
```
data_CsMnCrTe3
_chemical_formula_sum 'Cs2 Mn2 Cr2 Te6'
_symmetry_space_group_name_H-M 'P 1'
_symmetry_Int_Tables_number 1
_symmetry_space_group_name_Hall 'P 1'
_cell_length_a 4.250
_cell_length_b 9.728
_cell_length_c 10.910
_cell_angle_alpha 114.08
_cell_angle_beta 90.00
_cell_angle_gamma 90.00
loop_
_atom_site_label
_atom_site_type_symbol
_atom_site_fract_x
_atom_site_fract_y
_atom_site_fract_z
Cs1 Cs 0.750 0.774 0.746
Cs2 Cs 0.250 0.226 0.254
Te1 Te 0.750 0.230 0.565
Te2 Te 0.750 0.857 0.133
Te3 Te 0.750 0.479 0.133
Te4 Te 0.250 0.143 0.867
Te5 Te 0.250 0.770 0.435
Te6 Te 0.250 0.521 0.867
Cr1 Cr 0.750 0.335 0.861
Cr2 Cr 0.250 0.665 0.139
Mn1 Mn 0.250 0.076 0.607
Mn2 Mn 0.750 0.924 0.393
```

No. 6
CsMn2CrTe4: relaxed, PBE.

DFT total energy (eV for the cell shown): -42.629
Energy relative to the elements, uncorrected (eV/atom): -0.16
N(E_F) (states/eV/atom): 0.432
Crystal system: orthorhombic
Space group: No. 71

Geometry as CIF:
```
data_CsMn2CrTe4
_chemical_formula_sum 'Cs1 Mn2 Cr1 Te4'
_symmetry_space_group_name_H-M 'P 1'
_symmetry_Int_Tables_number 1
_symmetry_space_group_name_Hall 'P 1'
_cell_length_a 3.930
_cell_length_b 9.385
_cell_length_c 9.385
_cell_angle_alpha 57.07
_cell_angle_beta 77.91
_cell_angle_gamma 77.91
loop_
_atom_site_label
_atom_site_type_symbol
_atom_site_fract_x
_atom_site_fract_y
_atom_site_fract_z
Mn1 Mn 0.874 0.626 0.626
Mn2 Mn 0.126 0.374 0.374
Te1 Te 0.628 0.173 0.571
Te2 Te 0.628 0.571 0.173
Te3 Te 0.372 0.429 0.827
Te4 Te 0.372 0.827 0.429
Cr1 Cr 0.500 0.500 0.500
Cs1 Cs 0.000 0.000 0.000
```

Q: What is the formula in the third record?
A: Cs2MnCrSe4

Q: Look up the N(E_F) of the second one.
A: 0.803 states/eV/atom